Below is a PBEsol-optimized structure of YMoO2, with properties calculated at the SCAN level.

**DOS(E_F)**: 4.2 states/eV per cell
**ΔE_f (raw)**: -1.75 eV/atom

a = 3.4763 Å, b = 3.4763 Å, c = 16.9866 Å
α = 90.00°, β = 90.00°, γ = 120.00°
Space group R-3m (No. 166, hexagonal axes)
Unique sites:
Y 0.0000 0.0000 0.0000 [3 per cell]
Mo 0.0000 0.0000 0.5000 [3 per cell]
O 0.0000 0.0000 0.1275 [6 per cell]